# PmTlSi (PBE, relaxed)
# ΔE to the lowest computed polymorph ... 174 meV per atom
# Formation energy from raw total energies ... -0.308 eV per atom
data_PmTlSi
_cell_length_a 4.702
_cell_length_b 4.366
_cell_length_c 4.366
_cell_angle_alpha 120.00
_cell_angle_beta 90.00
_cell_angle_gamma 90.00
_space_group_name_H-M_alt 'P 1'
_space_group_IT_number 1
_space_group_name_Hall 'P 1'
loop_
_atom_site_label
_atom_site_fract_x
_atom_site_fract_y
_atom_site_fract_z
_atom_site_occupancy
Si1 0.029 0.000 0.000 1
Tl1 0.270 0.333 0.667 1
Pm1 0.701 0.667 0.333 1